No. 1
The following is a DFT calculation (PBE) of an optimized crystal structure of Hg3Sb2I2.

a b c (Å): 6.6993 8.3314 13.9184
angles (deg): 90.00 50.25 90.00
Closest atoms and distances in Å follow each position.
Element x y z (fractional)
Hg (0.7493, 0.2511, 0.2503)  2 Sb 2.78
Hg (0.7507, 0.7511, 0.2497)  2 Sb 2.78
Hg (0.2493, 0.2489, 0.7503)  2 Sb 2.78
I (0.8381, 0.4980, 0.7080)  1 Sb 2.89
Sb (0.7783, 0.0010, 0.3730)  2 Hg 2.78, 1 I 2.89, 1 Sb 3.09
I (0.3381, 0.0020, 0.2080)  1 Sb 2.89
I (0.1619, 0.5020, 0.2920)  1 Sb 2.89
Hg (0.2507, 0.7489, 0.7497)  2 Sb 2.78
Sb (0.2217, 0.9990, 0.6270)  2 Hg 2.78, 1 I 2.89, 1 Sb 3.09
Hg (0.0000, 0.0000, 0.0000)  2 I 3.41, 4 Hg 3.43-3.44
I (0.6619, 0.9980, 0.7920)  1 Sb 2.89
Hg (0.5000, 0.5000, 0.5000)  2 I 3.41, 4 Hg 3.43-3.44
Sb (0.2783, 0.4990, 0.8730)  2 Hg 2.78, 1 I 2.89, 1 Sb 3.09
Sb (0.7217, 0.5010, 0.1270)  2 Hg 2.78, 1 I 2.89, 1 Sb 3.09

Values from the calculation:
total magnetization	0.00	μB/f.u.
energy relative to the lowest polymorph listed for this composition	0.077	eV per atom
SG	P2_1/c, No. 14


No. 2
The following is a DFT calculation (PBE) of an optimized crystal structure of HgSb3I.

a b c (Å): 5.6419 5.6419 5.6419
angles (deg): 90.00 90.00 90.00
Closest atoms and distances in Å follow each position.
Element x y z (fractional)
Sb (0.5000, 0.0000, 0.0000)  2 Hg 2.82
Hg (0.0000, 0.0000, 0.0000)  6 Sb 2.82
Sb (0.0000, 0.5000, 0.0000)  2 Hg 2.82
I (0.5000, 0.5000, 0.5000)  12 Sb 3.99
Sb (0.0000, 0.0000, 0.5000)  2 Hg 2.82

Values from the calculation:
N(E_F)	6.16	states/eV per cell
total magnetization	0.00	μB/f.u.
energy relative to the lowest polymorph listed for this composition	0.000	eV per atom
SG	Pm-3m, No. 221


No. 3
The following is a DFT calculation (PBE) of an optimized crystal structure of Hg5SbI2.

a b c (Å): 6.0254 9.0190 13.5291
angles (deg): 90.00 90.00 109.51
Closest atoms and distances in Å follow each position.
Element x y z (fractional)
Hg (0.2962, 0.5924, 0.7500)  2 Sb 3.01, 2 Hg 3.33
I (0.0808, 0.1616, 0.6119)  2 Hg 2.87-3.05
Hg (0.9016, 0.8031, 0.5990)  1 Sb 2.74, 2 I 2.87-3.05
Hg (0.2992, 0.5983, 0.9958)  6 Hg 3.33-3.71
Hg (0.9016, 0.8031, 0.9010)  1 Sb 2.74, 2 I 2.87-3.05
I (0.9192, 0.8384, 0.1119)  2 Hg 2.87-3.05
Hg (0.0984, 0.1969, 0.4010)  1 Sb 2.74, 2 I 2.87-3.05
Sb (0.2059, 0.4117, 0.2500)  4 Hg 2.74-3.01
Hg (0.7008, 0.4017, 0.0042)  6 Hg 3.33-3.71
Hg (0.7008, 0.4017, 0.4958)  6 Hg 3.33-3.71
I (0.9192, 0.8384, 0.3881)  2 Hg 2.87-3.05
Hg (0.0984, 0.1969, 0.0990)  1 Sb 2.74, 2 I 2.87-3.05
I (0.0808, 0.1616, 0.8881)  2 Hg 2.87-3.05
Sb (0.7941, 0.5883, 0.7500)  4 Hg 2.74-3.01
Hg (0.2992, 0.5983, 0.5042)  6 Hg 3.33-3.71
Hg (0.7038, 0.4076, 0.2500)  2 Sb 3.01, 2 Hg 3.33

Values from the calculation:
N(E_F)	2.09	states/eV per cell
total magnetization	0.00	μB/f.u.
energy relative to the lowest polymorph listed for this composition	0.000	eV per atom
SG	Cmcm, No. 63


What are the ΔE_f (raw) values for these records? In order: -0.435, 3.783, -0.698 eV per formula unit.